Computed, not measured: a relaxed structure of Gd2DySb3 at the PBE-GGA level of DFT.

Output
SG: No. 164
magnetization: 0.006 μB per cell
V: 181.45 Å³/f.u.
electronic total energy: -5.53 eV/atom

abc: 4.407 4.407 10.788
angles: 90.00 90.00 120.00
Fractional coordinates of all 6 atoms:
Gd 0.667 0.333 0.333
Sb 0.667 0.333 0.835
Sb 0.000 0.000 0.500
Gd 0.333 0.667 0.667
Sb 0.333 0.667 0.165
Dy 0.000 0.000 0.000